VASP calculation (PBE-GGA) on an optimized crystal structure of Ta4FeC.

Computed properties:
**DFT total energy**: -10.898 eV/atom
**D(E_F)**: 5.54 states/eV/f.u.

abc: 5.575 5.505 6.186
angles: 90.00 103.44 90.00
Space group P2_1/c (No. 14)
Asymmetric unit:
Ta (0.103, 0.160, 0.201) (multiplicity 4)
Ta (0.357, 0.635, 0.129) (multiplicity 4)
Fe (0.500, 0.000, 0.000) (multiplicity 2)
C (0.000, 0.000, 0.500) (multiplicity 2)